1.
Below is a relaxed Ti2VNiH crystal, with properties calculated at the PBE level.

Space-group type: P4/mmm (123)
Electronic total energy in eV per atom: -6.993

Unit cell a=4.1661 b=4.1661 c=3.4283 alpha=90.00 beta=90.00 gamma=90.00
Last column: nearest neighbours and their distance in Å.
Element x y z (fractional)
Ti: 0.0000 0.5000 0.0000  2 H 2.08
Ti: 0.5000 0.0000 0.0000  2 H 2.08
Ni: 0.5000 0.5000 0.5000  8 Ti 2.70, 4 V 2.95
H: 0.0000 0.0000 0.0000  2 V 1.71
V: 0.0000 0.0000 0.5000  2 H 1.71


2.
Below is a relaxed Ti2VNiH crystal, with properties calculated at the PBE level.

Space-group type: P4/mmm (123)
Electronic total energy in eV per atom: -6.985

Unit cell a=4.2034 b=4.2034 c=3.3471 alpha=90.00 beta=90.00 gamma=90.00
Last column: nearest neighbours and their distance in Å.
Element x y z (fractional)
H: 0.0000 0.0000 0.0000  2 Ni 1.67
Ti: 0.5000 0.0000 0.0000  2 H 2.10
Ti: 0.0000 0.5000 0.0000  2 H 2.10
V: 0.5000 0.5000 0.5000  8 Ti 2.69, 4 Ni 2.97
Ni: 0.0000 0.0000 0.5000  2 H 1.67


3.
Below is a relaxed Ti2NiHW crystal, with properties calculated at the PBE level.

Space-group type: P4/mmm (123)
Electronic total energy in eV per atom: -7.795

Unit cell a=4.3272 b=4.3272 c=3.2738 alpha=90.00 beta=90.00 gamma=90.00
Last column: nearest neighbours and their distance in Å.
Element x y z (fractional)
H: 0.0000 0.0000 0.0000  2 Ni 1.64
Ti: 0.0000 0.5000 0.0000  2 H 2.16
Ti: 0.5000 0.0000 0.0000  2 H 2.16
Ni: 0.0000 0.0000 0.5000  2 H 1.64
W: 0.5000 0.5000 0.5000  8 Ti 2.71


4.
Below is a relaxed YTiNi2H crystal, with properties calculated at the PBE level.

Space-group type: P4/mmm (123)
Electronic total energy in eV per atom: -3.887

Unit cell a=4.6754 b=5.2486 c=4.6754 alpha=90.00 beta=90.00 gamma=90.00
Last column: nearest neighbours and their distance in Å.
Element x y z (fractional)
Ni: 0.5000 0.0000 0.0000  2 Y 2.34
Ni: 0.0000 0.0000 0.5000  2 Y 2.34
Y: 0.0000 0.0000 0.0000  4 Ni 2.34
Ti: 0.0000 0.5000 0.0000  2 Y 2.62
H: 0.5000 0.5000 0.5000  4 Ti 3.31, 8 Ni 3.51


5.
Below is a relaxed YTiNiH2 crystal, with properties calculated at the PBE level.

Space-group type: P4/mmm (123)
Electronic total energy in eV per atom: -5.063

Unit cell a=3.8640 b=5.3379 c=3.8640 alpha=90.00 beta=90.00 gamma=90.00
Last column: nearest neighbours and their distance in Å.
Element x y z (fractional)
Y: 0.0000 0.0000 0.0000  4 H 1.93
H: 0.0000 0.0000 0.5000  2 Y 1.93
H: 0.5000 0.0000 0.0000  2 Y 1.93
Ti: 0.5000 0.5000 0.5000  4 Ni 2.73
Ni: 0.0000 0.5000 0.0000  2 Y 2.67, 4 Ti 2.73


6.
Below is a relaxed ZrTiNi2H6 crystal, with properties calculated at the PBE level.

Space-group type: Amm2 (38)
Electronic total energy in eV per atom: -5.199

Unit cell a=5.3971 b=5.3971 c=4.2525 alpha=90.00 beta=90.00 gamma=142.86
Last column: nearest neighbours and their distance in Å.
Element x y z (fractional)
H: 0.0598 0.9402 0.5000  2 Ni 1.72
H: 0.3165 0.6835 0.2743  1 Ni 1.62
H: 0.6938 0.3062 0.7436  1 Ni 1.66
H: 0.3165 0.6835 0.7257  1 Ni 1.62
H: 0.9253 0.0747 0.0000  2 Ni 1.72
H: 0.6938 0.3062 0.2564  1 Ni 1.66
Ni: 0.4267 0.5733 0.0000  4 H 1.62-1.72
Ni: 0.5669 0.4331 0.5000  4 H 1.66-1.72
Zr: 0.1408 0.8592 0.0000  9 H 2.11-2.28
Ti: 0.8597 0.1403 0.5000  7 H 1.99-2.05


7.
Below is a relaxed Zr2TiNiH crystal, with properties calculated at the PBE level.

Space-group type: P4/mmm (123)
Electronic total energy in eV per atom: -6.983

Unit cell a=4.4800 b=4.4800 c=3.7505 alpha=90.00 beta=90.00 gamma=90.00
Last column: nearest neighbours and their distance in Å.
Element x y z (fractional)
H: 0.0000 0.0000 0.0000  2 Ti 1.88
Ti: 0.0000 0.0000 0.5000  2 H 1.88
Zr: 0.5000 0.0000 0.0000  2 H 2.24
Zr: 0.0000 0.5000 0.0000  2 H 2.24
Ni: 0.5000 0.5000 0.5000  8 Zr 2.92, 4 Ti 3.17


8.
Below is a relaxed TlNiH3 crystal, with properties calculated at the PBE level.

Space-group type: Pm-3m (221)
Electronic total energy in eV per atom: -3.349

Unit cell a=3.6526 b=3.6526 c=3.6526 alpha=90.00 beta=90.00 gamma=90.00
Last column: nearest neighbours and their distance in Å.
Element x y z (fractional)
H: 0.0000 0.0000 0.5000  2 Ni 1.83
H: 0.5000 0.0000 0.0000  2 Ni 1.83
H: 0.0000 0.5000 0.0000  2 Ni 1.83
Tl: 0.5000 0.5000 0.5000  12 H 2.58
Ni: 0.0000 0.0000 0.0000  6 H 1.83


9.
Below is a relaxed Tl3Ni5H12 crystal, with properties calculated at the PBE level.

Space-group type: Ia-3d (230)
Electronic total energy in eV per atom: -3.558

Unit cell a=10.0183 b=10.0183 c=10.0183 alpha=109.47 beta=109.47 gamma=109.47
Last column: nearest neighbours and their distance in Å.
Element x y z (fractional)
Tl: 0.1250 0.2500 0.8750  8 H 2.56-2.64
Tl: 0.8750 0.7500 0.1250  8 H 2.56-2.64
Tl: 0.2500 0.6250 0.8750  8 H 2.56-2.64
Tl: 0.3750 0.6250 0.2500  8 H 2.56-2.64
Tl: 0.7500 0.8750 0.6250  8 H 2.56-2.64
Tl: 0.6250 0.2500 0.3750  8 H 2.56-2.64
Tl: 0.3750 0.7500 0.6250  8 H 2.56-2.64
Tl: 0.1250 0.8750 0.7500  8 H 2.56-2.64
Tl: 0.8750 0.1250 0.2500  8 H 2.56-2.64
Tl: 0.2500 0.1250 0.3750  8 H 2.56-2.64
Tl: 0.7500 0.3750 0.1250  8 H 2.56-2.64
Tl: 0.6250 0.3750 0.7500  8 H 2.56-2.64
H: 0.0875 0.9002 0.4291  2 Ni 1.63-1.67
H: 0.9291 0.5875 0.9002  2 Ni 1.63-1.67
H: 0.6873 0.5289 0.5998  2 Ni 1.63-1.67
H: 0.5709 0.9711 0.1584  2 Ni 1.63-1.67
H: 0.1873 0.0875 0.6584  2 Ni 1.63-1.67
H: 0.5289 0.8416 0.9291  2 Ni 1.63-1.67
H: 0.8127 0.9125 0.3416  2 Ni 1.63-1.67
H: 0.5875 0.6584 0.6873  2 Ni 1.63-1.67
H: 0.6584 0.5875 0.1873  2 Ni 1.63-1.67
H: 0.0998 0.1873 0.5289  2 Ni 1.63-1.67
H: 0.0289 0.5998 0.1873  2 Ni 1.63-1.67
H: 0.9125 0.8127 0.8416  2 Ni 1.63-1.67
H: 0.3127 0.8416 0.4125  2 Ni 1.63-1.67
H: 0.4002 0.4291 0.5875  2 Ni 1.63-1.67
H: 0.6873 0.1584 0.5875  2 Ni 1.63-1.67
H: 0.9125 0.0998 0.5709  2 Ni 1.63-1.67
H: 0.0709 0.6584 0.4711  2 Ni 1.63-1.67
H: 0.1873 0.0998 0.0289  2 Ni 1.63-1.67
H: 0.0998 0.9125 0.0709  2 Ni 1.63-1.67
H: 0.9002 0.8127 0.4711  2 Ni 1.63-1.67
H: 0.5875 0.9291 0.4002  2 Ni 1.63-1.67
H: 0.9002 0.0875 0.9291  2 Ni 1.63-1.67
H: 0.4125 0.0709 0.5998  2 Ni 1.63-1.67
H: 0.0875 0.1873 0.1584  2 Ni 1.63-1.67
H: 0.4291 0.0289 0.8416  2 Ni 1.63-1.67
H: 0.4291 0.4002 0.0875  2 Ni 1.63-1.67
H: 0.8416 0.5289 0.4291  2 Ni 1.63-1.67
H: 0.3416 0.9291 0.0289  2 Ni 1.63-1.67
H: 0.3416 0.4125 0.8127  2 Ni 1.63-1.67
H: 0.5709 0.5998 0.9125  2 Ni 1.63-1.67
H: 0.4711 0.1584 0.0709  2 Ni 1.63-1.67
H: 0.5289 0.6873 0.0998  2 Ni 1.63-1.67
H: 0.3127 0.4711 0.4002  2 Ni 1.63-1.67
H: 0.0709 0.4125 0.0998  2 Ni 1.63-1.67
H: 0.4002 0.9711 0.3127  2 Ni 1.63-1.67
H: 0.8416 0.3127 0.9125  2 Ni 1.63-1.67
H: 0.6584 0.0709 0.9711  2 Ni 1.63-1.67
H: 0.1584 0.6873 0.0875  2 Ni 1.63-1.67
H: 0.9711 0.4002 0.8127  2 Ni 1.63-1.67
H: 0.4125 0.3416 0.3127  2 Ni 1.63-1.67
H: 0.9291 0.3416 0.5289  2 Ni 1.63-1.67
H: 0.1584 0.4711 0.5709  2 Ni 1.63-1.67
H: 0.8127 0.9002 0.9711  2 Ni 1.63-1.67
H: 0.5998 0.5709 0.4125  2 Ni 1.63-1.67
H: 0.5998 0.0289 0.6873  2 Ni 1.63-1.67
H: 0.4711 0.3127 0.9002  2 Ni 1.63-1.67
H: 0.0289 0.4291 0.3416  2 Ni 1.63-1.67
H: 0.9711 0.5709 0.6584  2 Ni 1.63-1.67
Ni: 0.6250 0.8750 0.2500  4 H 1.63
Ni: 0.5000 0.5000 0.0000  6 H 1.67
Ni: 0.5000 0.5000 0.5000  6 H 1.67
Ni: 0.7500 0.1250 0.8750  4 H 1.63
Ni: 0.3750 0.1250 0.7500  4 H 1.63
Ni: 0.5000 0.0000 0.0000  6 H 1.67
Ni: 0.1250 0.7500 0.3750  4 H 1.63
Ni: 0.0000 0.5000 0.5000  6 H 1.67
Ni: 0.0000 0.0000 0.5000  6 H 1.67
Ni: 0.0000 0.5000 0.0000  6 H 1.67
Ni: 0.6250 0.7500 0.8750  4 H 1.63
Ni: 0.3750 0.2500 0.1250  4 H 1.63
Ni: 0.5000 0.0000 0.5000  6 H 1.67
Ni: 0.0000 0.0000 0.0000  6 H 1.67
Ni: 0.7500 0.6250 0.3750  4 H 1.63
Ni: 0.8750 0.6250 0.7500  4 H 1.63
Ni: 0.1250 0.3750 0.2500  4 H 1.63
Ni: 0.8750 0.2500 0.6250  4 H 1.63
Ni: 0.2500 0.8750 0.1250  4 H 1.63
Ni: 0.2500 0.3750 0.6250  4 H 1.63


10.
Below is a relaxed TlNiH3 crystal, with properties calculated at the PBE level.

Space-group type: Pm-3m (221)
Electronic total energy in eV per atom: -2.507

Unit cell a=3.9433 b=3.9433 c=3.9433 alpha=90.00 beta=90.00 gamma=90.00
Last column: nearest neighbours and their distance in Å.
Element x y z (fractional)
H: 0.5000 0.0000 0.0000  2 Tl 1.97
H: 0.0000 0.0000 0.5000  2 Tl 1.97
H: 0.0000 0.5000 0.0000  2 Tl 1.97
Tl: 0.0000 0.0000 0.0000  6 H 1.97
Ni: 0.5000 0.5000 0.5000  12 H 2.79


11.
Below is a relaxed TlNi2H2 crystal, with properties calculated at the PBE level.

Space-group type: I4/mmm (139)
Electronic total energy in eV per atom: -4.021

Unit cell a=3.2265 b=3.2265 c=5.5486 alpha=73.10 beta=73.10 gamma=90.00
Last column: nearest neighbours and their distance in Å.
Element x y z (fractional)
Ni: 0.3142 0.3142 0.3716  4 H 1.74
Ni: 0.6858 0.6858 0.6284  4 H 1.74
H: 0.2500 0.7500 0.5000  4 Ni 1.74
H: 0.7500 0.2500 0.5000  4 Ni 1.74
Tl: 0.0000 0.0000 0.0000  10 Ni 2.96-3.18, 8 H 3.00, 4 Tl 3.23


12.
Below is a relaxed Y2TlNiH crystal, with properties calculated at the PBE level.

Space-group type: P4/mmm (123)
Electronic total energy in eV per atom: -5.226

Unit cell a=5.1411 b=5.1411 c=3.6310 alpha=90.00 beta=90.00 gamma=90.00
Last column: nearest neighbours and their distance in Å.
Element x y z (fractional)
Tl: 0.5000 0.5000 0.5000  8 Y 3.15
Ni: 0.0000 0.0000 0.5000  2 H 1.82
Y: 0.5000 0.0000 0.0000  2 H 2.57
Y: 0.0000 0.5000 0.0000  2 H 2.57
H: 0.0000 0.0000 0.0000  2 Ni 1.82